No. 1
The following is a DFT calculation (PBE) of a relaxed LiS3O crystal.

Cell and atoms, written as POSCAR:
```
LiS3O
1.0
4.305 0.000 0.000
0.000 4.305 0.000
0.000 0.000 4.305
Li S O
1 3 1
Cartesian
0.000 0.000 0.000 Li
0.000 0.000 2.152 S
0.000 2.152 0.000 S
2.152 0.000 0.000 S
2.152 2.152 2.152 O
```

Calculated values
calculated density = 2.5 g/cm³
E_form (uncorrected) = 1104 meV per atom
uncorrected energy = -0.2019 Ry per atom
space-group type = Pm-3m, No. 221
total magnetic moment = 1.8 μB per formula unit

No. 2
The following is a DFT calculation (PBE) of a relaxed Li2SO4 crystal.

Cell and atoms, written as POSCAR:
```
Li2SO4
1.0
8.586 0.000 0.000
0.000 5.029 0.000
-2.534 0.000 7.978
Li S O
8 4 16
Cartesian
0.268 0.340 2.431 Li
-0.999 2.174 6.420 Li
3.021 0.365 0.524 Li
1.754 2.150 4.513 Li
4.298 2.879 3.465 Li
3.031 4.664 7.453 Li
7.050 2.855 1.558 Li
5.783 4.689 5.547 Li
1.650 2.822 1.528 S
0.383 4.721 5.516 S
5.669 0.308 2.461 S
4.402 2.207 6.450 S
-0.966 0.268 5.806 O
0.301 2.247 1.817 O
0.265 3.253 5.295 O
1.532 4.290 1.306 O
0.956 0.338 4.303 O
2.223 2.176 0.314 O
2.526 2.531 2.695 O
1.258 5.013 6.684 O
4.793 0.016 1.294 O
3.526 2.498 5.283 O
3.829 2.852 7.664 O
5.096 4.691 3.675 O
4.519 0.739 6.671 O
5.786 1.776 2.683 O
5.751 2.782 6.160 O
7.018 4.761 2.172 O
```

Calculated values
calculated density = 2.1 g/cm³
E_form (uncorrected) = -1909 meV per atom
uncorrected energy = -0.4321 Ry per atom
space-group type = P2_1/c, No. 14
total magnetic moment = 0.0 μB per formula unit

No. 3
The following is a DFT calculation (PBE) of a relaxed Li3SO6 crystal.

Cell and atoms, written as POSCAR:
```
Li3SO6
1.0
4.157 2.400 3.325
-4.157 2.400 3.325
0.000 -4.800 3.325
Li S O
6 2 12
Cartesian
-2.944 -0.747 4.473 Li
-0.825 -2.923 5.500 Li
-2.119 2.176 5.500 Li
2.119 -2.176 4.473 Li
0.825 2.923 4.473 Li
2.944 0.747 5.500 Li
0.000 0.000 0.000 S
0.000 0.000 4.987 S
-2.854 -2.613 5.696 O
-3.690 1.165 4.277 O
-0.912 -0.974 4.061 O
0.835 -3.778 4.277 O
-0.388 1.277 4.061 O
-1.300 0.302 5.913 O
1.300 -0.302 4.061 O
0.388 -1.277 5.913 O
-0.835 3.778 5.696 O
0.912 0.974 5.913 O
3.690 -1.165 5.696 O
2.854 2.613 4.277 O
```

Calculated values
calculated density = 2.5 g/cm³
E_form (uncorrected) = -1154 meV per atom
uncorrected energy = -0.3760 Ry per atom
space-group type = R-3, No. 148
total magnetic moment = 3.0 μB per formula unit

No. 4
The following is a DFT calculation (PBE) of a relaxed Li2SO6 crystal.

Cell and atoms, written as POSCAR:
```
Li2SO6
1.0
4.538 0.000 0.000
0.000 4.538 0.000
0.000 0.000 8.925
Li S O
4 2 12
Cartesian
0.000 0.000 1.442 Li
0.000 0.000 7.482 Li
2.269 2.269 3.020 Li
2.269 2.269 5.905 Li
0.000 0.000 4.462 S
2.269 2.269 0.000 S
0.794 0.794 3.289 O
0.794 0.794 5.636 O
1.116 1.116 0.000 O
1.153 3.385 4.462 O
1.475 3.063 1.173 O
1.475 3.063 7.752 O
3.063 1.475 1.173 O
3.063 1.475 7.752 O
3.385 1.153 4.462 O
3.423 3.423 0.000 O
3.744 3.744 3.289 O
3.744 3.744 5.636 O
```

Calculated values
calculated density = 2.6 g/cm³
E_form (uncorrected) = -740 meV per atom
uncorrected energy = -0.3623 Ry per atom
space-group type = P4_2/mnm, No. 136
total magnetic moment = 4.1 μB per formula unit

No. 5
The following is a DFT calculation (PBE) of a relaxed Li2SO4 crystal.

Cell and atoms, written as POSCAR:
```
Li2SO4
1.0
-2.387 2.387 3.692
2.387 -2.387 3.692
2.387 2.387 -3.692
Li S O
2 1 4
Cartesian
2.387 0.000 1.846 Li
0.000 2.387 1.846 Li
0.000 0.000 0.000 S
0.866 0.866 -0.853 O
1.521 -1.521 4.545 O
1.521 1.521 2.839 O
-1.521 1.521 4.545 O
```

Calculated values
calculated density = 2.2 g/cm³
E_form (uncorrected) = -1900 meV per atom
uncorrected energy = -0.4314 Ry per atom
space-group type = I-42m, No. 121
total magnetic moment = 0.0 μB per formula unit

No. 6
The following is a DFT calculation (PBE) of a relaxed Li2SO4 crystal.

Cell and atoms, written as POSCAR:
```
Li2SO4
1.0
2.779 -4.138 0.000
2.779 4.138 0.000
0.000 0.000 6.194
Li S O
4 2 8
Cartesian
0.000 0.000 0.000 Li
0.000 0.000 3.097 Li
2.779 1.416 4.645 Li
2.779 -1.416 1.548 Li
2.779 1.220 1.548 S
2.779 -1.220 4.645 S
1.574 0.320 1.548 O
2.779 2.078 0.341 O
2.779 2.078 2.755 O
1.574 -0.320 4.645 O
3.984 0.320 1.548 O
2.779 -2.078 3.438 O
2.779 -2.078 5.852 O
3.984 -0.320 4.645 O
```

Calculated values
calculated density = 2.6 g/cm³
E_form (uncorrected) = -1855 meV per atom
uncorrected energy = -0.4281 Ry per atom
space-group type = Cmcm, No. 63
total magnetic moment = 0.0 μB per formula unit

> The lowest calculated density belongs to which entry?

number 2

> Among the records above, which one has the lowest calculated density?

number 2

> What is the formula in the first record?

LiS3O